Record 1
Crystalline Ti3MnO8 at its relaxed geometry, computed with PBE+U.

Properties
ρ, g/cm³: 3.97
Total energy, eV/cell: -202.0
DOS at the Fermi energy, states/eV per atom: 0.000
Total magnetic moment, μB/cell: 5.91

```
data_Ti3MnO8
_space_group_name_H-M_alt 'P 63 m c'
_space_group_IT_number 186
_space_group_name_Hall 'P 6c -2c'
_cell_length_a 5.9431
_cell_length_b 5.9431
_cell_length_c 8.9319
_cell_angle_alpha 90.00
_cell_angle_beta 90.00
_cell_angle_gamma 120.00
loop_
_atom_site_label
_atom_site_type_symbol
_atom_site_fract_x
_atom_site_fract_y
_atom_site_fract_z
Ti1 Ti 0.1665 0.3331 0.0000
Mn1 Mn 0.3333 0.6667 0.2760
O1 O 0.0000 0.0000 0.1057
O2 O 0.0534 0.5267 0.1370
O3 O 0.1731 0.3461 0.4000
O4 O 0.3333 0.6667 0.8898
```

---

Record 2
Crystalline TiMnO3 at its relaxed geometry, computed with PBE+U.

Properties
ρ, g/cm³: 4.71
Total energy, eV/cell: -170.5
Total magnetic moment, μB/cell: 20.00

```
data_TiMnO3
_space_group_name_H-M_alt 'P n m a'
_space_group_IT_number 62
_space_group_name_Hall '-P 2ac 2n'
_cell_length_a 5.4032
_cell_length_b 7.5666
_cell_length_c 5.2060
_cell_angle_alpha 90.00
_cell_angle_beta 90.00
_cell_angle_gamma 90.00
loop_
_atom_site_label
_atom_site_type_symbol
_atom_site_fract_x
_atom_site_fract_y
_atom_site_fract_z
Ti1 Ti 0.0000 0.0000 0.0000
Mn1 Mn 0.0533 0.2500 0.4869
O1 O 0.0431 0.7500 0.1123
O2 O 0.1950 0.5589 0.6909
```

---

Record 3
Crystalline TiMn5O12 at its relaxed geometry, computed with PBE+U.

Properties
ρ, g/cm³: 3.74
Total energy, eV/cell: -265.7
DOS at the Fermi energy, states/eV per atom: 0.000
Total magnetic moment, μB/cell: 29.95

```
data_TiMn5O12
_space_group_name_H-M_alt 'C 1 2/m 1'
_space_group_IT_number 12
_space_group_name_Hall '-C 2y'
_cell_length_a 5.0899
_cell_length_b 8.8243
_cell_length_c 10.1603
_cell_angle_alpha 90.00
_cell_angle_beta 90.08
_cell_angle_gamma 90.00
loop_
_atom_site_label
_atom_site_type_symbol
_atom_site_fract_x
_atom_site_fract_y
_atom_site_fract_z
Ti1 Ti 0.0000 0.0000 0.0000
Mn1 Mn 0.0000 0.1667 0.5000
Mn2 Mn 0.0000 0.3333 0.0000
Mn3 Mn 0.0000 0.5000 0.5000
O1 O 0.1612 0.5000 0.0954
O2 O 0.1663 0.0000 0.4060
O3 O 0.1664 0.3334 0.4061
O4 O 0.1697 0.1695 0.0954
```

---

Look up the total magnetic moment of the first one. 5.91 μB/cell

---

Copy entry 1 word for word.
Crystalline Ti3MnO8 at its relaxed geometry, computed with PBE+U.

Properties
ρ, g/cm³: 3.97
Total energy, eV/cell: -202.0
DOS at the Fermi energy, states/eV per atom: 0.000
Total magnetic moment, μB/cell: 5.91

```
data_Ti3MnO8
_space_group_name_H-M_alt 'P 63 m c'
_space_group_IT_number 186
_space_group_name_Hall 'P 6c -2c'
_cell_length_a 5.9431
_cell_length_b 5.9431
_cell_length_c 8.9319
_cell_angle_alpha 90.00
_cell_angle_beta 90.00
_cell_angle_gamma 120.00
loop_
_atom_site_label
_atom_site_type_symbol
_atom_site_fract_x
_atom_site_fract_y
_atom_site_fract_z
Ti1 Ti 0.1665 0.3331 0.0000
Mn1 Mn 0.3333 0.6667 0.2760
O1 O 0.0000 0.0000 0.1057
O2 O 0.0534 0.5267 0.1370
O3 O 0.1731 0.3461 0.4000
O4 O 0.3333 0.6667 0.8898
```

---

Which formula does entry 1 have? Ti3MnO8